DFT (GGA-PBE) results for a relaxed structure of LaCd4Te.

Computed properties:
total energy = -2.17 eV/atom
calculated density = 7.44 g/cm³
size of the total moment = 0.00 μB per cell

Cell lengths 6.093, 6.093, 6.093 Å; angles 60.00, 60.00, 60.00 degrees
Fractional positions:
Cd: 0.375 0.876 0.375
Cd: 0.375 0.375 0.876
Cd: 0.375 0.375 0.375
Te: 0.000 0.000 0.000
La: 0.750 0.750 0.750
Cd: 0.876 0.375 0.375